A geometry-optimized NdInGa structure, computed with PBE-GGA.

Calculated values
- calculated formation energy (eV/atom) = -0.42
- DOS(E_F) (states/eV/f.u.) = 1.746

Cell and atoms, written as POSCAR:
```
NdInGa
1.0
4.838 0.000 0.000
2.419 4.190 0.000
2.419 1.397 3.950
Nd Ga In
1 1 1
direct
0.500 0.500 0.500
0.250 0.250 0.250
0.000 0.000 0.000
```